1.
Computed, not measured: a relaxed structure of ZrAl3C at the PBE-GGA level of DFT.

Cell: 4.235 4.235 4.235 Å, 90.00 90.00 90.00°
Fractional positions:
Zr 0.000 0.000 0.000
Al 0.000 0.500 0.500
Al 0.500 0.000 0.500
Al 0.500 0.500 0.000
C 0.500 0.500 0.500

Values from the calculation:
Raw total energy   -5.465 eV per atom
Density of states at the Fermi level   5.375 states/eV/f.u.
ΔH_f (0 K)   1.7 eV per formula unit

***

2.
Computed, not measured: a relaxed structure of Zr3Al3C at the PBE-GGA level of DFT.

Cell: 8.798 8.798 8.798 Å, 60.00 60.00 60.00°
Fractional positions:
Zr 0.060 0.060 0.690
Zr 0.060 0.690 0.060
Zr 0.060 0.690 0.690
Zr 0.310 0.310 0.940
Zr 0.310 0.940 0.310
Zr 0.310 0.940 0.940
Zr 0.690 0.060 0.060
Zr 0.690 0.060 0.690
Zr 0.690 0.690 0.060
Zr 0.940 0.310 0.310
Zr 0.940 0.310 0.940
Zr 0.940 0.940 0.310
Al 0.000 0.500 0.500
Al 0.290 0.290 0.290
Al 0.290 0.290 0.629
Al 0.290 0.629 0.290
Al 0.371 0.710 0.710
Al 0.500 0.000 0.500
Al 0.500 0.500 0.000
Al 0.500 0.500 0.500
Al 0.629 0.290 0.290
Al 0.710 0.371 0.710
Al 0.710 0.710 0.371
Al 0.710 0.710 0.710
C 0.000 0.000 0.000
C 0.000 0.000 0.500
C 0.000 0.500 0.000
C 0.500 0.000 0.000

Values from the calculation:
Raw total energy   -7.139 eV per atom
Density of states at the Fermi level   6.884 states/eV/f.u.
ΔH_f (0 K)   -3.9 eV per formula unit

***

3.
Computed, not measured: a relaxed structure of Zr3Al3C5 at the PBE-GGA level of DFT.

Cell: 3.363 3.363 27.753 Å, 90.00 90.00 120.00°
Fractional positions:
Zr 0.000 0.000 0.000
Zr 0.000 0.000 0.500
Zr 0.333 0.667 0.095
Zr 0.333 0.667 0.405
Zr 0.667 0.333 0.595
Zr 0.667 0.333 0.905
Al 0.000 0.000 0.250
Al 0.000 0.000 0.750
Al 0.333 0.667 0.677
Al 0.333 0.667 0.823
Al 0.667 0.333 0.177
Al 0.667 0.333 0.323
C 0.000 0.000 0.152
C 0.000 0.000 0.348
C 0.000 0.000 0.652
C 0.000 0.000 0.848
C 0.333 0.667 0.550
C 0.333 0.667 0.750
C 0.333 0.667 0.950
C 0.667 0.333 0.050
C 0.667 0.333 0.250
C 0.667 0.333 0.450

Values from the calculation:
Raw total energy   -8.070 eV per atom
Density of states at the Fermi level   1.686 states/eV/f.u.
ΔH_f (0 K)   -5.8 eV per formula unit

***

4.
Computed, not measured: a relaxed structure of Ca4Al at the PBE-GGA level of DFT.

Cell: 10.124 10.124 10.124 Å, 154.77 154.77 35.98°
Fractional positions:
Ca 0.086 0.086 0.000
Ca 0.250 0.750 0.500
Ca 0.750 0.250 0.500
Ca 0.914 0.914 0.000
Al 0.500 0.500 0.000

Values from the calculation:
Raw total energy   -2.011 eV per atom
Density of states at the Fermi level   5.140 states/eV/f.u.
ΔH_f (0 K)   1.7 eV per formula unit

***

5.
Computed, not measured: a relaxed structure of CaAl at the PBE-GGA level of DFT.

Cell: 8.793 8.793 4.993 Å, 90.00 90.00 120.00°
Fractional positions:
Ca 0.179 0.358 0.250
Ca 0.179 0.821 0.250
Ca 0.358 0.179 0.750
Ca 0.642 0.821 0.250
Ca 0.821 0.179 0.750
Ca 0.821 0.642 0.750
Al 0.132 0.566 0.750
Al 0.434 0.566 0.750
Al 0.434 0.868 0.750
Al 0.566 0.132 0.250
Al 0.566 0.434 0.250
Al 0.868 0.434 0.250

Values from the calculation:
Raw total energy   -3.024 eV per atom
Density of states at the Fermi level   1.209 states/eV/f.u.
ΔH_f (0 K)   -0.3 eV per formula unit

***

6.
Computed, not measured: a relaxed structure of CaAl3 at the PBE-GGA level of DFT.

Cell: 5.654 5.654 9.492 Å, 107.18 107.18 60.13°
Fractional positions:
Ca 0.000 0.000 0.000
Ca 0.142 0.142 0.427
Ca 0.858 0.858 0.573
Al 0.076 0.586 0.247
Al 0.336 0.336 0.005
Al 0.414 0.414 0.753
Al 0.414 0.924 0.753
Al 0.500 0.500 0.500
Al 0.586 0.076 0.247
Al 0.586 0.586 0.247
Al 0.664 0.664 0.995
Al 0.924 0.414 0.753

Values from the calculation:
Raw total energy   -3.547 eV per atom
Density of states at the Fermi level   1.864 states/eV/f.u.
ΔH_f (0 K)   -1.0 eV per formula unit

***

> What is the formula in the fifth record?

CaAl

***

> What is the density of states at the Fermi level in the second record?

6.884 states/eV/f.u.

***

> Which value of ΔH_f (0 K) does entry 5 give?

-0.3 eV per formula unit